1.
## VCrP2O8F2 (GGA+U)

Data for a geometry-optimized VCrP2O8F2 structure.

Mass density = 3.2 Mg/m³
E_tot = -7.08 eV/atom
Space group = No. 2

The structure in CIF format:
```
data_VCrP2O8F2
_cell_length_a 5.112
_cell_length_b 5.260
_cell_length_c 7.333
_cell_angle_alpha 109.70
_cell_angle_beta 107.86
_cell_angle_gamma 93.77
_space_group_name_H-M_alt 'P 1'
_space_group_IT_number 1
loop_
_space_group_symop_operation_xyz
'x,y,z'
loop_
_atom_site_label
_atom_site_fract_x
_atom_site_fract_y
_atom_site_fract_z
_atom_site_occupancy
V1 0.000 0.000 0.000 1
Cr1 0.500 0.500 0.500 1
P1 0.411 0.119 0.748 1
P2 0.589 0.881 0.252 1
O1 0.241 0.131 0.896 1
O2 0.270 0.823 0.114 1
O3 0.334 0.831 0.582 1
O4 0.351 0.349 0.670 1
O5 0.649 0.651 0.330 1
O6 0.666 0.169 0.418 1
O7 0.730 0.177 0.886 1
O8 0.759 0.869 0.104 1
F1 0.149 0.316 0.252 1
F2 0.851 0.684 0.748 1
```

2.
## YVNF2 (GGA+U)

Data for a geometry-optimized YVNF2 structure.

Mass density = 4.7 Mg/m³
Fermi-level density of states = 1.700 states/eV/cell
E_tot = -6.92 eV/atom
Space group = No. 123

The structure in CIF format:
```
data_YVNF2
_cell_length_a 3.899
_cell_length_b 3.899
_cell_length_c 4.430
_cell_angle_alpha 90.00
_cell_angle_beta 90.00
_cell_angle_gamma 90.00
_space_group_name_H-M_alt 'P 1'
_space_group_IT_number 1
loop_
_space_group_symop_operation_xyz
'x,y,z'
loop_
_atom_site_label
_atom_site_fract_x
_atom_site_fract_y
_atom_site_fract_z
_atom_site_occupancy
Y1 0.000 0.000 0.000 1
V1 0.500 0.500 0.500 1
N1 0.500 0.500 0.000 1
F1 0.000 0.500 0.500 1
F2 0.500 0.000 0.500 1
```

- The lowest mass density belongs to which entry?
  VCrP2O8F2